Record 1
The following is a DFT calculation (PBE) of Hg12Au3Br5 after structural relaxation.

Cell: 15.0031 15.0031 15.0031 Å, 109.47 109.47 109.47°
Atoms (fractional coordinates):
Br (0.5000, 0.5000, 0.5000)
Br (0.8750, 0.6250, 0.7500)
Br (0.0000, 0.5000, 0.0000)
Au (0.2500, 0.1250, 0.3750)
Au (0.6250, 0.3750, 0.7500)
Hg (0.1697, 0.0577, 0.9245)
Hg (0.0577, 0.1697, 0.4245)
Hg (0.2452, 0.6697, 0.1120)
Hg (0.9423, 0.1120, 0.8668)
Hg (0.6697, 0.2452, 0.6120)
Hg (0.9423, 0.8303, 0.5755)
Br (0.5000, 0.0000, 0.5000)
Au (0.1250, 0.2500, 0.8750)
Hg (0.9245, 0.5577, 0.1697)
Hg (0.4245, 0.7548, 0.8668)
Au (0.8750, 0.7500, 0.1250)
Hg (0.6120, 0.7452, 0.6697)
Hg (0.2548, 0.3880, 0.8303)
Br (0.2500, 0.3750, 0.6250)
Hg (0.1120, 0.9423, 0.3668)
Hg (0.8668, 0.6120, 0.9423)
Br (0.0000, 0.5000, 0.5000)
Hg (0.8303, 0.9423, 0.0755)
Hg (0.8668, 0.2548, 0.4245)
Hg (0.3303, 0.7548, 0.3880)
Br (0.5000, 0.0000, 0.0000)
Hg (0.3668, 0.9245, 0.7548)
Hg (0.7548, 0.3303, 0.8880)
Hg (0.5755, 0.3303, 0.9423)
Br (0.1250, 0.3750, 0.2500)
Hg (0.7452, 0.1332, 0.0755)
Br (0.0000, 0.0000, 0.5000)
Hg (0.6332, 0.0755, 0.2452)
Au (0.3750, 0.7500, 0.6250)
Hg (0.0577, 0.8880, 0.1332)
Hg (0.1332, 0.3880, 0.0577)
Br (0.2500, 0.8750, 0.1250)
Au (0.7500, 0.3750, 0.1250)
Hg (0.1120, 0.1697, 0.2452)
Hg (0.8303, 0.8880, 0.2548)
Hg (0.0755, 0.4423, 0.8303)
Hg (0.1697, 0.1120, 0.7452)
Hg (0.3880, 0.1332, 0.5577)
Br (0.5000, 0.5000, 0.0000)
Br (0.8750, 0.2500, 0.6250)
Hg (0.2452, 0.5755, 0.6332)
Hg (0.8880, 0.8303, 0.7548)
Au (0.8750, 0.1250, 0.2500)
Au (0.2500, 0.6250, 0.8750)
Hg (0.3303, 0.5755, 0.4423)
Br (0.3750, 0.1250, 0.7500)
Hg (0.3880, 0.2548, 0.3303)
Au (0.3750, 0.6250, 0.2500)
Au (0.1250, 0.8750, 0.7500)
Br (0.1250, 0.7500, 0.3750)
Br (0.0000, 0.0000, 0.0000)
Br (0.3750, 0.2500, 0.1250)
Hg (0.8880, 0.0577, 0.6332)
Hg (0.3668, 0.4423, 0.1120)
Br (0.7500, 0.1250, 0.8750)
Hg (0.6697, 0.4245, 0.5577)
Hg (0.6332, 0.5577, 0.8880)
Hg (0.2548, 0.8668, 0.9245)
Hg (0.9245, 0.3668, 0.2548)
Hg (0.0755, 0.6332, 0.7452)
Br (0.6250, 0.8750, 0.2500)
Hg (0.7548, 0.4245, 0.3668)
Br (0.7500, 0.6250, 0.3750)
Br (0.6250, 0.7500, 0.8750)
Hg (0.5577, 0.9245, 0.6697)
Hg (0.1332, 0.7452, 0.5755)
Hg (0.6120, 0.8668, 0.4423)
Au (0.7500, 0.8750, 0.6250)
Hg (0.5577, 0.6332, 0.3880)
Hg (0.7452, 0.6120, 0.1697)
Hg (0.4423, 0.3668, 0.6120)
Au (0.6250, 0.2500, 0.3750)
Hg (0.5755, 0.2452, 0.1332)
Hg (0.4245, 0.6697, 0.0577)
Hg (0.4423, 0.0755, 0.3303)

Summary:
- total DFT energy (no corrections) (eV per atom) = -1.15
- DOS at the Fermi energy (states/eV/atom) = 0.33

Record 2
The following is a DFT calculation (PBE) of Hg2AuBr after structural relaxation.

Cell: 4.0058 4.0058 7.6668 Å, 79.40 79.40 65.44°
Atoms (fractional coordinates):
Hg (0.5295, 0.5295, 0.4659)
Au (0.2500, 0.2500, 0.2500)
Hg (0.9705, 0.9705, 0.0341)
Br (0.7500, 0.7500, 0.7500)

Summary:
- total DFT energy (no corrections) (eV per atom) = -1.46
- ΔE to the lowest computed polymorph (eV per atom) = 0.000
- DOS at the Fermi energy (states/eV/atom) = 0.25

Record 3
The following is a DFT calculation (PBE) of Hg4AuBr2 after structural relaxation.

Cell: 5.4862 5.4862 8.7984 Å, 71.83 71.83 90.00°
Atoms (fractional coordinates):
Hg (0.1676, 0.1676, 0.6648)
Au (0.0000, 0.0000, 0.0000)
Hg (0.5000, 0.0000, 0.0000)
Br (0.6679, 0.6679, 0.6642)
Hg (0.8324, 0.8324, 0.3352)
Hg (0.0000, 0.5000, 0.0000)
Br (0.3321, 0.3321, 0.3358)

Summary:
- total DFT energy (no corrections) (eV per atom) = -1.33
- DOS at the Fermi energy (states/eV/atom) = 0.33

Record 4
The following is a DFT calculation (PBE) of Hg2AuBr after structural relaxation.

Cell: 5.1091 5.1091 5.6308 Å, 72.88 72.88 114.43°
Atoms (fractional coordinates):
Br (0.0000, 0.5000, 0.5000)
Hg (0.5000, 0.5000, 0.0000)
Au (0.5000, 0.0000, 0.5000)
Hg (0.0000, 0.0000, 0.0000)

Summary:
- total DFT energy (no corrections) (eV per atom) = -1.33
- ΔE to the lowest computed polymorph (eV per atom) = 0.130
- DOS at the Fermi energy (states/eV/atom) = 0.14